Crystalline FeAgSe2 at its relaxed geometry, computed with PBEsol.

The space group is R-3m (No. 166, hexagonal axes) and the conventional cell measures 3.3947, 3.3947 and 22.7179 Å, with angles of 90.00, 90.00 and 120.00 degrees. The asymmetric unit holds Fe at (0.0000, 0.0000, 0.0000), Ag at (0.0000, 0.0000, 0.5000) and Se at (0.0000, 0.0000, 0.3901).

The density of states at the Fermi level is 4.73 states/eV/f.u. The value obtained for the total magnetic moment is 2.36 Bohr magnetons per cell. As for the total energy: -5.11 eV per atom. The calculation puts the formation energy (no corrections) at -120 meV per atom.